(1)
Compound: Ba2Hg17
Source: Alexandria
Functional: PBE
Structure: relaxed

Geometry as POSCAR:
```
Ba2Hg17
1.0
5.101 2.945 6.166
-5.101 2.945 6.166
0.000 -5.891 6.166
Ba Hg
2 17
Direct
0.205 0.205 0.205
0.795 0.795 0.795
0.000 0.500 0.500
0.089 0.089 0.679
0.089 0.679 0.089
0.208 0.500 0.792
0.208 0.792 0.500
0.321 0.911 0.911
0.403 0.403 0.403
0.500 0.000 0.500
0.500 0.208 0.792
0.500 0.500 0.000
0.500 0.792 0.208
0.597 0.597 0.597
0.679 0.089 0.089
0.792 0.208 0.500
0.792 0.500 0.208
0.911 0.321 0.911
0.911 0.911 0.321
```

Calculated values
The value obtained for the density of states at the Fermi level is 7.23 states/eV per cell. The value obtained for the electronic total energy is -12.68 eV per cell. As for the space group: R-3m. For the energy of formation, the calculation gives -0.195 eV per atom.



(2)
Compound: BaHg12
Source: Alexandria
Functional: PBE
Structure: relaxed

Geometry as POSCAR:
```
BaHg12
1.0
-5.491 5.491 3.094
5.491 -5.491 3.094
5.491 5.491 -3.094
Ba Hg
1 12
Direct
0.000 0.000 0.000
0.000 0.000 0.500
0.000 0.356 0.356
0.000 0.500 0.000
0.000 0.644 0.644
0.291 0.500 0.791
0.356 0.000 0.356
0.500 0.000 0.000
0.500 0.291 0.791
0.500 0.500 0.500
0.500 0.709 0.209
0.644 0.000 0.644
0.709 0.500 0.209
```

Calculated values
The value obtained for the density of states at the Fermi level is 5.31 states/eV per cell. For the distance to the lowest polymorph of the same formula, the calculation gives 0.000 eV/atom. The value obtained for the electronic total energy is -7.11 eV per cell. As for the space group: I4/mmm. For the energy of formation, the calculation gives -0.121 eV per atom.



(3)
Compound: Ba2Hg
Source: Alexandria
Functional: PBE
Structure: relaxed

Geometry as POSCAR:
```
Ba2Hg
1.0
2.153 -10.235 0.000
2.153 10.235 0.000
0.000 0.000 6.224
Ba Hg
4 2
Direct
0.071 0.929 0.750
0.208 0.792 0.250
0.792 0.208 0.750
0.929 0.071 0.250
0.427 0.573 0.750
0.573 0.427 0.250
```

Calculated values
The value obtained for the density of states at the Fermi level is 7.28 states/eV per cell. The value obtained for the electronic total energy is -10.21 eV per cell. As for the space group: Cmcm. For the energy of formation, the calculation gives -0.320 eV per atom.



(4)
Compound: Ba3Hg4
Source: Alexandria
Functional: PBE
Structure: relaxed

Geometry as POSCAR:
```
Ba3Hg4
1.0
7.676 0.000 0.000
-3.838 6.648 0.000
0.000 0.000 5.671
Ba Hg
3 4
Direct
0.000 0.500 0.000
0.500 0.000 0.000
0.500 0.500 0.000
0.000 0.000 0.254
0.000 0.000 0.746
0.333 0.667 0.500
0.667 0.333 0.500
```

Calculated values
The value obtained for the density of states at the Fermi level is 6.76 states/eV per cell. For the distance to the lowest polymorph of the same formula, the calculation gives 0.246 eV/atom. The value obtained for the electronic total energy is -8.25 eV per cell. As for the space group: P6/mmm. For the energy of formation, the calculation gives -0.182 eV per atom.



(5)
Compound: BaHg
Source: Alexandria
Functional: PBE
Structure: relaxed

Geometry as POSCAR:
```
BaHg
1.0
5.157 0.000 0.000
-2.578 4.466 0.000
0.000 0.000 15.587
Ba Hg
4 4
Direct
0.333 0.667 0.120
0.333 0.667 0.380
0.667 0.333 0.620
0.667 0.333 0.880
0.000 0.000 0.250
0.000 0.000 0.750
0.333 0.667 0.750
0.667 0.333 0.250
```

Calculated values
The value obtained for the density of states at the Fermi level is 6.99 states/eV per cell. The value obtained for the electronic total energy is -11.91 eV per cell. As for the space group: P6_3/mmc. For the energy of formation, the calculation gives -0.377 eV per atom.



(6)
Compound: BaHg
Source: Alexandria
Functional: PBE
Structure: relaxed

Geometry as POSCAR:
```
BaHg
1.0
6.296 -2.227 0.000
6.296 2.227 0.000
-3.257 0.000 8.714
Ba Hg
3 3
Direct
0.000 0.000 0.000
0.659 0.659 0.699
0.829 0.829 0.350
0.285 0.285 0.016
0.371 0.371 0.672
0.537 0.537 0.306
```

Calculated values
The value obtained for the density of states at the Fermi level is 5.12 states/eV per cell. The value obtained for the electronic total energy is -9.39 eV per cell. As for the space group: Cm. For the energy of formation, the calculation gives -0.453 eV per atom.



(7)
Compound: BaHg
Source: Alexandria
Functional: PBE
Structure: relaxed

Geometry as POSCAR:
```
BaHg
1.0
4.213 0.000 0.000
0.000 4.213 0.000
0.000 0.000 4.213
Ba Hg
1 1
Direct
0.000 0.000 0.000
0.500 0.500 0.500
```

Calculated values
The value obtained for the density of states at the Fermi level is 1.51 states/eV per cell. The value obtained for the electronic total energy is -3.27 eV per cell. As for the space group: Pm-3m. For the energy of formation, the calculation gives -0.523 eV per atom.



(8)
Compound: BaHg6
Source: Alexandria
Functional: PBE
Structure: relaxed

Geometry as POSCAR:
```
BaHg6
1.0
-4.035 4.035 4.035
4.035 -4.035 4.035
4.035 4.035 -4.035
Ba Hg
1 6
Direct
0.000 0.000 0.000
0.250 0.500 0.750
0.250 0.750 0.500
0.500 0.250 0.750
0.500 0.750 0.250
0.750 0.250 0.500
0.750 0.500 0.250
```

Calculated values
The value obtained for the density of states at the Fermi level is 4.84 states/eV per cell. For the distance to the lowest polymorph of the same formula, the calculation gives 0.261 eV/atom. The value obtained for the electronic total energy is -3.85 eV per cell. As for the space group: Im-3m. For the energy of formation, the calculation gives -0.017 eV per atom.